# RbSnMo3, relaxed, DFT PBE
# - formation energy (eV/atom) = 2.231
# - magnetization (μB per atom) = 2.15
# - energy (eV/cell) = -26.31
data_RbSnMo3
_cell_length_a 5.383
_cell_length_b 5.383
_cell_length_c 5.383
_cell_angle_alpha 90.00
_cell_angle_beta 90.00
_cell_angle_gamma 90.00
_symmetry_space_group_name_H-M 'P m -3 m'
_symmetry_Int_Tables_number 221
_symmetry_space_group_name_Hall '-P 4 2 3'
loop_
_atom_site_label
_atom_site_type_symbol
_atom_site_fract_x
_atom_site_fract_y
_atom_site_fract_z
_atom_site_occupancy
Rb1 Rb 0.000 0.000 0.000 1
Sn1 Sn 0.500 0.500 0.500 1
Mo1 Mo 0.000 0.500 0.500 1



# CeP2Rh4, relaxed, DFT PBE
# - formation energy (eV/atom) = -0.868
# - magnetization (μB per atom) = 0.00
# - energy (eV/cell) = -208.94
data_CeP2Rh4
_cell_length_a 16.705
_cell_length_b 4.020
_cell_length_c 6.533
_cell_angle_alpha 90.00
_cell_angle_beta 90.00
_cell_angle_gamma 90.00
_symmetry_space_group_name_H-M 'P n m a'
_symmetry_Int_Tables_number 62
_symmetry_space_group_name_Hall '-P 2ac 2n'
loop_
_atom_site_label
_atom_site_type_symbol
_atom_site_fract_x
_atom_site_fract_y
_atom_site_fract_z
_atom_site_occupancy
Ce1 Ce 0.143 0.250 0.024 1
P1 P 0.038 0.750 0.249 1
P2 P 0.204 0.250 0.580 1
Rh1 Rh 0.026 0.750 0.860 1
Rh2 Rh 0.064 0.250 0.516 1
Rh3 Rh 0.169 0.750 0.375 1
Rh4 Rh 0.219 0.750 0.775 1



# Zn8Co2Cu3, relaxed, DFT PBE
# - formation energy (eV/atom) = 0.060
# - magnetization (μB per atom) = 0.00
# - energy (eV/cell) = -71.81
data_Zn8Co2Cu3
_cell_length_a 8.052
_cell_length_b 11.499
_cell_length_c 4.139
_cell_angle_alpha 90.00
_cell_angle_beta 90.00
_cell_angle_gamma 90.00
_symmetry_space_group_name_H-M 'C m m m'
_symmetry_Int_Tables_number 65
_symmetry_space_group_name_Hall '-C 2 2'
loop_
_atom_site_label
_atom_site_type_symbol
_atom_site_fract_x
_atom_site_fract_y
_atom_site_fract_z
_atom_site_occupancy
Zn1 Zn 0.000 0.131 0.000 1
Zn2 Zn 0.000 0.361 0.000 1
Zn3 Zn 0.234 0.130 0.500 1
Co1 Co 0.000 0.260 0.500 1
Cu1 Cu 0.000 0.500 0.500 1
Cu2 Cu 0.241 0.500 0.000 1



# PmNdMgSi, relaxed, DFT PBE
# - magnetization (μB per atom) = 0.00
# - energy (eV/cell) = -70.71
# - ΔE_f (raw) (meV/atom) = -285
data_PmNdMgSi
_cell_length_a 7.400
_cell_length_b 7.400
_cell_length_c 7.400
_cell_angle_alpha 90.00
_cell_angle_beta 90.00
_cell_angle_gamma 90.00
_symmetry_space_group_name_H-M 'F -4 3 m'
_symmetry_Int_Tables_number 216
_symmetry_space_group_name_Hall 'F -4 2 3'
loop_
_atom_site_label
_atom_site_type_symbol
_atom_site_fract_x
_atom_site_fract_y
_atom_site_fract_z
_atom_site_occupancy
Pm1 Pm 0.000 0.000 0.000 1
Nd1 Nd 0.000 0.000 0.500 1
Mg1 Mg 0.250 0.250 0.250 1
Si1 Si 0.250 0.250 0.750 1



# K2Pm2I7, relaxed, DFT PBE
# - magnetization (μB per atom) = 0.09
# - energy (eV/cell) = -73.98
# - ΔE_f (raw) (meV/atom) = -1313
data_K2Pm2I7
_cell_length_a 9.578
_cell_length_b 15.332
_cell_length_c 8.647
_cell_angle_alpha 90.00
_cell_angle_beta 98.00
_cell_angle_gamma 90.00
_symmetry_space_group_name_H-M 'C 1 2/m 1'
_symmetry_Int_Tables_number 12
_symmetry_space_group_name_Hall '-C 2y'
loop_
_atom_site_label
_atom_site_type_symbol
_atom_site_fract_x
_atom_site_fract_y
_atom_site_fract_z
_atom_site_occupancy
K1 K 0.000 0.197 0.000 1
Pm1 Pm 0.198 0.000 0.600 1
I1 I 0.000 0.500 0.500 1
I2 I 0.087 0.000 0.247 1
I3 I 0.244 0.322 0.250 1



# Nd5Pd2Au, relaxed, DFT PBE
# - formation energy (eV/atom) = -0.579
# - magnetization (μB per atom) = 0.00
# - energy (eV/cell) = -168.54
data_Nd5Pd2Au
_cell_length_a 8.113
_cell_length_b 8.113
_cell_length_c 13.279
_cell_angle_alpha 90.00
_cell_angle_beta 90.00
_cell_angle_gamma 90.00
_symmetry_space_group_name_H-M 'I 4/m c m'
_symmetry_Int_Tables_number 140
_symmetry_space_group_name_Hall '-I 4 2c'
loop_
_atom_site_label
_atom_site_type_symbol
_atom_site_fract_x
_atom_site_fract_y
_atom_site_fract_z
_atom_site_occupancy
Nd1 Nd 0.000 0.000 0.000 1
Nd2 Nd 0.163 0.337 0.143 1
Pd1 Pd 0.128 0.372 0.500 1
Au1 Au 0.000 0.000 0.250 1



# Ac2PaGe3Pt4, relaxed, DFT PBE
# - formation energy (eV/atom) = -0.900
# - magnetization (μB per atom) = 0.00
# - energy (eV/cell) = -64.73
data_Ac2PaGe3Pt4
_cell_length_a 4.459
_cell_length_b 4.459
_cell_length_c 11.144
_cell_angle_alpha 90.00
_cell_angle_beta 90.00
_cell_angle_gamma 90.00
_symmetry_space_group_name_H-M 'P -4 m 2'
_symmetry_Int_Tables_number 115
_symmetry_space_group_name_Hall 'P -4 -2'
loop_
_atom_site_label
_atom_site_type_symbol
_atom_site_fract_x
_atom_site_fract_y
_atom_site_fract_z
_atom_site_occupancy
Ac1 Ac 0.000 0.500 0.228 1
Pa1 Pa 0.000 0.000 0.500 1
Ge1 Ge 0.000 0.500 0.884 1
Ge2 Ge 0.500 0.500 0.500 1
Pt1 Pt 0.000 0.000 0.000 1
Pt2 Pt 0.000 0.500 0.655 1
Pt3 Pt 0.500 0.500 0.000 1



# YBe2Ni, relaxed, DFT PBE
# - formation energy (eV/atom) = 0.264
# - magnetization (μB per atom) = 0.00
# - energy (eV/cell) = -18.64
data_YBe2Ni
_cell_length_a 3.748
_cell_length_b 3.748
_cell_length_c 4.295
_cell_angle_alpha 90.00
_cell_angle_beta 90.00
_cell_angle_gamma 90.00
_symmetry_space_group_name_H-M 'P 4/m m m'
_symmetry_Int_Tables_number 123
_symmetry_space_group_name_Hall '-P 4 2'
loop_
_atom_site_label
_atom_site_type_symbol
_atom_site_fract_x
_atom_site_fract_y
_atom_site_fract_z
_atom_site_occupancy
Y1 Y 0.000 0.000 0.000 1
Be1 Be 0.000 0.500 0.500 1
Ni1 Ni 0.500 0.500 0.000 1



# Ag3H2Cl4, relaxed, DFT PBE
# - magnetization (μB per atom) = 0.00
# - energy (eV/cell) = -46.98
data_Ag3H2Cl4
_cell_length_a 9.174
_cell_length_b 7.392
_cell_length_c 7.637
_cell_angle_alpha 90.00
_cell_angle_beta 122.67
_cell_angle_gamma 90.00
_symmetry_space_group_name_H-M 'C 1 2/m 1'
_symmetry_Int_Tables_number 12
_symmetry_space_group_name_Hall '-C 2y'
loop_
_atom_site_label
_atom_site_type_symbol
_atom_site_fract_x
_atom_site_fract_y
_atom_site_fract_z
_atom_site_occupancy
Ag1 Ag 0.000 0.000 0.000 1
Ag2 Ag 0.250 0.250 0.000 1
H1 H 0.219 0.000 0.040 1
Cl1 Cl 0.045 0.260 0.272 1



# AgHg2Bi, relaxed, DFT PBE
# - formation energy (eV/atom) = 0.117
# - magnetization (μB per atom) = 0.00
# - energy (eV/cell) = -27.47
data_AgHg2Bi
_cell_length_a 4.402
_cell_length_b 4.402
_cell_length_c 21.543
_cell_angle_alpha 90.00
_cell_angle_beta 90.00
_cell_angle_gamma 90.00
_symmetry_space_group_name_H-M 'I -4 2 d'
_symmetry_Int_Tables_number 122
_symmetry_space_group_name_Hall 'I -4 2bw'
loop_
_atom_site_label
_atom_site_type_symbol
_atom_site_fract_x
_atom_site_fract_y
_atom_site_fract_z
_atom_site_occupancy
Ag1 Ag 0.000 0.000 0.000 1
Hg1 Hg 0.231 0.250 0.125 1
Bi1 Bi 0.000 0.000 0.500 1



# Mg14TiBi, relaxed, DFT PBE
# - formation energy (eV/atom) = 0.020
# - magnetization (μB per atom) = 0.00
# - energy (eV/cell) = -33.78
data_Mg14TiBi
_cell_length_a 6.4091
_cell_length_b 6.4091
_cell_length_c 10.2738
_cell_angle_alpha 90.00
_cell_angle_beta 90.00
_cell_angle_gamma 120.00
_symmetry_space_group_name_H-M 'P -6 m 2'
_symmetry_Int_Tables_number 187
_symmetry_space_group_name_Hall 'P -6 2'
loop_
_atom_site_label
_atom_site_type_symbol
_atom_site_fract_x
_atom_site_fract_y
_atom_site_fract_z
_atom_site_occupancy
Mg1 Mg 0.0000 0.0000 0.2475 1
Mg2 Mg 0.0071 0.5036 0.2404 1
Mg3 Mg 0.3330 0.1665 0.5000 1
Mg4 Mg 0.3357 0.1679 0.0000 1
Ti1 Ti 0.3333 0.6667 0.0000 1
Bi1 Bi 0.3333 0.6667 0.5000 1



# BP2WCl, relaxed, DFT PBE
# - magnetization (μB per atom) = 0.00
# - energy (eV/cell) = -26.39
# - ΔE_f (raw) (meV/atom) = 1181
data_BP2WCl
_cell_length_a 4.067
_cell_length_b 4.067
_cell_length_c 4.190
_cell_angle_alpha 90.00
_cell_angle_beta 90.00
_cell_angle_gamma 90.00
_symmetry_space_group_name_H-M 'P 4/m m m'
_symmetry_Int_Tables_number 123
_symmetry_space_group_name_Hall '-P 4 2'
loop_
_atom_site_label
_atom_site_type_symbol
_atom_site_fract_x
_atom_site_fract_y
_atom_site_fract_z
_atom_site_occupancy
B1 B 0.000 0.000 0.000 1
P1 P 0.000 0.500 0.000 1
W1 W 0.500 0.500 0.500 1
Cl1 Cl 0.000 0.000 0.500 1



Per-record mass density, g cm⁻³: 5.239 9.291 7.209 5.599 3.318 8.596 12.613 4.559 3.561 11.423 2.713 6.999